A geometry-optimized Pm5ErGe5 structure, computed with PBE.

Cell lengths 5.961, 7.393, 8.271 Å; angles 106.37, 90.00, 113.78 degrees
Fractional positions:
Ge 0.160 0.320 0.831
Pm 0.331 0.661 0.162
Pm 0.672 0.344 0.330
Ge 0.837 0.675 0.668
Ge 0.500 0.000 0.000
Pm 0.328 0.656 0.670
Ge 0.840 0.680 0.169
Pm 0.000 0.000 0.500
Pm 0.669 0.339 0.838
Er 0.000 0.000 0.000
Ge 0.163 0.325 0.332

Results
Density in g cm⁻³: 6.6
N(E_F) in states/eV/cell: 8.83
Space group: No. 12
Energy of formation from the pure elements in eV per atom: -0.62



A geometry-optimized PmEr2Ge structure, computed with PBE.

Cell lengths 3.582, 3.582, 8.611 Å; angles 90.00, 90.00, 90.00 degrees
Fractional positions:
Pm 0.500 0.500 0.000
Ge 0.500 0.500 0.500
Er 0.000 0.000 0.302
Er 0.000 0.000 0.698

Results
Density in g cm⁻³: 8.3
N(E_F) in states/eV/cell: 4.61
Space group: No. 123
Energy of formation from the pure elements in eV per atom: -0.32



A geometry-optimized PmEr2Ge structure, computed with PBE.

Cell lengths 3.661, 3.661, 10.156 Å; angles 79.62, 79.62, 60.00 degrees
Fractional positions:
Ge 0.000 0.000 0.000
Er 0.267 0.267 0.199
Pm 0.500 0.500 0.500
Er 0.733 0.733 0.801

Results
Density in g cm⁻³: 8.0
N(E_F) in states/eV/cell: 4.66
Space group: No. 166
Energy of formation from the pure elements in eV per atom: -0.24



A geometry-optimized Pm3Er2Ge4 structure, computed with PBE.

Cell lengths 4.432, 6.154, 9.538 Å; angles 98.93, 90.00, 111.11 degrees
Fractional positions:
Er 0.683 0.366 0.812
Ge 0.910 0.820 0.383
Ge 0.090 0.180 0.617
Pm 0.619 0.239 0.398
Pm 0.000 0.000 0.000
Ge 0.342 0.684 0.892
Pm 0.381 0.761 0.602
Er 0.317 0.634 0.188
Ge 0.658 0.316 0.108

Results
Density in g cm⁻³: 7.4
N(E_F) in states/eV/cell: 6.65
Space group: No. 12
Energy of formation from the pure elements in eV per atom: -0.71



Among the records above, which one has the highest density?
number 2